DFT (PBE) results for an optimized crystal structure of LuTh2Pa.

Lattice parameters (Å, degrees): 4.779 4.965 4.965 90.00 90.00 90.00
Sites, in units of the cell vectors:
1 Lu 0.500 0.000 0.000
2 Th 0.000 0.500 0.000
3 Th 0.000 0.000 0.500
4 Pa 0.500 0.500 0.500

**Calculated density**: 12.26 g/cm3
**Calculated formation energy**: 0.1495 eV/atom
**DFT total energy**: -7.065 eV per atom
**Space group**: No. 123